MnTlCdB: optimized geometry, GGA-PBE.

Properties
The calculation puts the total magnetic moment at 0.48 μB/atom. Its total energy is -4.395 eV per atom. The energy above the lowest structure with this stoichiometry comes out at 90 meV per atom. The formation energy is 0.387 eV/atom.

Cell: 3.3501 3.3501 21.9801 Å, 90.00 90.00 120.00°
With the nearest neighbours (Å) after each atom.
Fractional positions:
1 Tl 0.0000 0.0000 0.8331  1 B 2.86, 1 Cd 2.86, 3 Mn 2.99
2 Tl 0.3333 0.6667 0.4997  1 B 2.86, 1 Cd 2.86, 3 Mn 2.99
3 Cd 0.6667 0.3333 0.2967  3 B 2.51
4 B 0.3333 0.6667 0.3695  3 Mn 2.02
5 B 0.0000 0.0000 0.7028  3 Mn 2.02
6 B 0.6667 0.3333 0.0361  3 Mn 2.02
7 Mn 0.3333 0.6667 0.0625  3 B 2.02
8 Mn 0.0000 0.0000 0.3958  3 B 2.02
9 Cd 0.0000 0.0000 0.9634  3 B 2.51
10 Tl 0.6667 0.3333 0.1664  1 B 2.86, 1 Cd 2.86, 3 Mn 2.99
11 Cd 0.3333 0.6667 0.6300  3 B 2.51
12 Mn 0.6667 0.3333 0.7291  3 B 2.02